Entry 1:
Density functional theory data (PBE-GGA) for a relaxed TmCuSe2 crystal.

a = 4.1958 Å, b = 4.1958 Å, c = 22.4803 Å
α = 90.00°, β = 90.00°, γ = 120.00°
Positions (direct):
Tm  0.0000  0.0000  0.0000
Tm  0.3333  0.6667  0.6667
Tm  0.6667  0.3333  0.3333
Cu  0.0000  0.0000  0.5000
Cu  0.3333  0.6667  0.1667
Cu  0.6667  0.3333  0.8333
Se  0.0000  0.0000  0.3994
Se  0.0000  0.0000  0.6006
Se  0.3333  0.6667  0.0660
Se  0.3333  0.6667  0.2673
Se  0.6667  0.3333  0.7327
Se  0.6667  0.3333  0.9340

Calculated values
* D(E_F): 0.000 states/eV per atom
* E_tot: -4.9955 eV/atom
* calculated volume: 342.7 Å³ per cell
* crystal system: trigonal
* density: 5.674 Mg/m³
* symmetry: No. 166
* magnetization: 0.0 μB per cell



Entry 2:
Density functional theory data (PBE-GGA) for a relaxed Tm2Cu2Se crystal.

a = 4.0616 Å, b = 4.0616 Å, c = 21.6206 Å
α = 90.00°, β = 90.00°, γ = 120.00°
Positions (direct):
Tm  0.0000  0.0000  0.0837
Tm  0.0000  0.0000  0.9163
Tm  0.3333  0.6667  0.5830
Tm  0.3333  0.6667  0.7504
Tm  0.6667  0.3333  0.2496
Tm  0.6667  0.3333  0.4170
Cu  0.0000  0.0000  0.3309
Cu  0.0000  0.0000  0.6691
Cu  0.3333  0.6667  0.3357
Cu  0.3333  0.6667  0.9976
Cu  0.6667  0.3333  0.0024
Cu  0.6667  0.3333  0.6643
Se  0.0000  0.0000  0.5000
Se  0.3333  0.6667  0.1667
Se  0.6667  0.3333  0.8333

Calculated values
* D(E_F): 0.624 states/eV per atom
* E_tot: -4.9463 eV/atom
* calculated volume: 308.9 Å³ per cell
* crystal system: trigonal
* density: 8.772 Mg/m³
* symmetry: No. 166
* magnetization: 0.0 μB per cell



Repeat the second record exactly.
Density functional theory data (PBE-GGA) for a relaxed Tm2Cu2Se crystal.

a = 4.0616 Å, b = 4.0616 Å, c = 21.6206 Å
α = 90.00°, β = 90.00°, γ = 120.00°
Positions (direct):
Tm  0.0000  0.0000  0.0837
Tm  0.0000  0.0000  0.9163
Tm  0.3333  0.6667  0.5830
Tm  0.3333  0.6667  0.7504
Tm  0.6667  0.3333  0.2496
Tm  0.6667  0.3333  0.4170
Cu  0.0000  0.0000  0.3309
Cu  0.0000  0.0000  0.6691
Cu  0.3333  0.6667  0.3357
Cu  0.3333  0.6667  0.9976
Cu  0.6667  0.3333  0.0024
Cu  0.6667  0.3333  0.6643
Se  0.0000  0.0000  0.5000
Se  0.3333  0.6667  0.1667
Se  0.6667  0.3333  0.8333

Calculated values
* D(E_F): 0.624 states/eV per atom
* E_tot: -4.9463 eV/atom
* calculated volume: 308.9 Å³ per cell
* crystal system: trigonal
* density: 8.772 Mg/m³
* symmetry: No. 166
* magnetization: 0.0 μB per cell